[1]
Material: Pr4SnAsI2
Method: DFT, PBE
State: optimized geometry

Lattice parameters (Å, degrees): 4.4546 7.7662 8.1632 108.39 90.00 90.00
With the nearest neighbours (Å) after each atom.
Fractional positions:
Pr 0.5000 0.2526 0.2086  1 As 2.94, 2 Sn 3.10
Pr 0.5000 0.7474 0.7914  1 As 2.94, 2 Sn 3.10
Pr 0.0000 0.2806 0.7990  2 As 2.97, 1 Sn 3.11
Pr 0.0000 0.7194 0.2010  2 As 2.97, 1 Sn 3.11
Sn 0.0000 0.0000 0.0000  6 Pr 3.10-3.11
As 0.5000 0.5000 0.0000  6 Pr 2.94-2.97
I 0.5000 0.0000 0.5000  6 Pr 3.51-3.53
I 0.0000 0.5000 0.5000  6 Pr 3.38-3.39

Results
Energy relative to the elements, uncorrected   -1096.4 meV per atom

---

[2]
Material: Pr6Te3As2I
Method: DFT, PBE
State: optimized geometry

Lattice parameters (Å, degrees): 4.4326 9.0234 9.9823 102.48 102.83 90.00
With the nearest neighbours (Å) after each atom.
Fractional positions:
Pr 0.3229 0.8793 0.6457  2 As 2.99, 3 Te 3.15-3.34
Pr 0.6732 0.5694 0.3464  3 As 2.98-3.03, 1 Te 3.29
Pr 0.6771 0.1207 0.3543  2 As 2.99, 3 Te 3.15-3.34
Pr 0.0158 0.2735 0.0316  1 As 2.93, 2 Te 3.08, 2 I 3.28
Pr 0.9842 0.7265 0.9684  1 As 2.93, 2 Te 3.08, 2 I 3.28
Pr 0.3268 0.4306 0.6536  3 As 2.98-3.03, 1 Te 3.29
Te 0.5000 0.5000 0.0000  6 Pr 3.08-3.29
Te 0.8421 0.1622 0.6842  6 Pr 3.15-3.34
Te 0.1579 0.8378 0.3158  6 Pr 3.15-3.34
As 0.8298 0.6613 0.6595  6 Pr 2.93-3.03
As 0.1702 0.3387 0.3405  6 Pr 2.93-3.03
I 0.5000 0.0000 0.0000  6 Pr 3.28-3.38

Results
Energy relative to the elements, uncorrected   -1408.3 meV per atom

---

[3]
Material: Pr4TeAsI2
Method: DFT, PBE
State: optimized geometry

Lattice parameters (Å, degrees): 4.4411 7.9127 7.9571 108.60 90.00 90.00
With the nearest neighbours (Å) after each atom.
Fractional positions:
Pr 0.5000 0.2616 0.2066  1 As 2.87, 2 Te 3.12
Pr 0.5000 0.7384 0.7934  1 As 2.87, 2 Te 3.12
Pr 0.0000 0.2868 0.8001  2 As 2.93, 1 Te 3.16
Pr 0.0000 0.7132 0.1999  2 As 2.93, 1 Te 3.16
Te 0.0000 0.0000 0.0000  6 Pr 3.12-3.16
As 0.5000 0.5000 0.0000  6 Pr 2.87-2.93
I 0.5000 0.0000 0.5000  6 Pr 3.51-3.58
I 0.0000 0.5000 0.5000  6 Pr 3.33-3.34

Results
Energy relative to the elements, uncorrected   -1218.1 meV per atom